*A*
Compound: LaSm2Ge
Source: Alexandria via LeMat-Bulk
Functional: PBE
Structure: relaxed

Geometry as POSCAR:
```
LaSm2Ge
1.0
-1.909 -0.324 3.597
1.007 -2.999 2.584
6.109 4.404 5.959
Sm La Ge
2 1 1
Direct
0.060 0.060 0.820 Sm
0.273 0.273 0.182 Sm
0.502 0.502 0.494 La
0.666 0.666 0.003 Ge
```

Calculated values
The calculated volume is 134.5 Å³/cell. As for the space group: No. 160.

---

*B*
Compound: LaSm2Ge
Source: Alexandria via LeMat-Bulk
Functional: PBE
Structure: relaxed

Geometry as POSCAR:
```
LaSm2Ge
1.0
-2.054 -1.318 2.791
1.336 -2.688 2.176
4.085 6.311 8.448
Sm Ge La
2 1 1
Direct
0.107 0.107 0.679 Sm
0.893 0.893 0.321 Sm
0.500 0.500 0.500 Ge
0.000 0.000 0.000 La
```

Calculated values
The calculated volume is 132.2 Å³/cell. As for the space group: No. 166.

---

Which is the most stable structure? *A* is the most stable.

---

*A*
Compound: LaSm2Ge
Source: Alexandria via LeMat-Bulk
Functional: PBE
Structure: relaxed

Geometry as POSCAR:
```
LaSm2Ge
1.0
-2.308 3.365 5.074
2.005 -5.944 4.855
8.476 3.897 1.271
La Ge Sm
4 4 8
Direct
0.133 0.970 0.750 La
0.867 0.030 0.250 La
0.367 0.470 0.750 La
0.633 0.530 0.250 La
0.913 0.615 0.750 Ge
0.587 0.115 0.750 Ge
0.413 0.885 0.250 Ge
0.087 0.385 0.250 Ge
0.125 0.690 0.053 Sm
0.375 0.190 0.053 Sm
0.625 0.810 0.947 Sm
0.375 0.190 0.447 Sm
0.625 0.810 0.553 Sm
0.125 0.690 0.447 Sm
0.875 0.310 0.553 Sm
0.875 0.310 0.947 Sm
```

Calculated values
The calculated volume is 486.3 Å³/cell. As for the space group: No. 62.

---

*B*
Compound: LaSm2Ge
Source: Alexandria via LeMat-Bulk
Functional: PBE
Structure: relaxed

Geometry as POSCAR:
```
LaSm2Ge
1.0
3.922 0.000 0.000
0.000 3.922 0.000
0.000 0.000 7.445
Sm Ge La
2 1 1
Direct
0.000 0.000 0.699 Sm
0.000 0.000 0.301 Sm
0.500 0.500 0.500 Ge
0.500 0.500 0.000 La
```

Calculated values
The calculated volume is 114.5 Å³/cell. As for the space group: No. 123.

---

*C*
Compound: LaSm2Ge
Source: Alexandria via LeMat-Bulk
Functional: PBE
Structure: relaxed

Geometry as POSCAR:
```
LaSm2Ge
1.0
4.715 0.000 0.000
0.000 4.843 0.000
0.000 0.000 4.843
La Sm Ge
1 2 1
Direct
0.500 0.500 0.500 La
0.000 0.500 0.000 Sm
0.000 0.000 0.500 Sm
0.500 0.000 0.000 Ge
```

Calculated values
The calculated volume is 110.6 Å³/cell. As for the space group: No. 123.

---

Which is the most stable structure? *A* is the most stable.

---

*A*
Compound: LaSm3Ge2
Source: Alexandria via LeMat-Bulk
Functional: PBE
Structure: relaxed

Geometry as POSCAR:
```
LaSm3Ge2
1.0
4.471 0.000 0.000
0.000 4.471 0.000
0.000 0.000 8.402
Ge Sm La
2 3 1
Direct
0.000 0.500 0.281 Ge
0.500 0.000 0.719 Ge
0.000 0.500 0.640 Sm
0.500 0.000 0.360 Sm
0.000 0.000 0.000 Sm
0.500 0.500 0.000 La
```

Calculated values
The calculated volume is 167.9 Å³/cell. As for the space group: No. 115.

---

*B*
Compound: LaSm3Ge2
Source: Alexandria via LeMat-Bulk
Functional: PBE
Structure: relaxed

Geometry as POSCAR:
```
LaSm3Ge2
1.0
4.472 0.000 0.000
-2.236 9.975 -0.644
0.000 -5.076 7.988
Sm La Ge
6 2 4
Direct
0.650 0.300 0.823 Sm
0.308 0.616 0.499 Sm
0.050 0.101 0.406 Sm
0.350 0.700 0.177 Sm
0.692 0.384 0.501 Sm
0.950 0.899 0.594 Sm
0.116 0.232 0.098 La
0.884 0.768 0.902 La
0.764 0.528 0.236 Ge
0.510 0.020 0.153 Ge
0.490 0.980 0.847 Ge
0.236 0.472 0.764 Ge
```

Calculated values
The calculated volume is 341.7 Å³/cell. As for the space group: No. 12.

---

Which is the most stable structure? *B* is the most stable.

---

*A*
Compound: La2Sn2Ge
Source: Alexandria via LeMat-Bulk
Functional: PBE
Structure: relaxed

Geometry as POSCAR:
```
La2Sn2Ge
1.0
-4.054 -6.667 1.145
4.375 -3.603 -5.484
3.108 -1.316 3.344
Ge Sn La
2 4 4
Direct
0.000 0.000 0.000 Ge
0.500 0.500 0.000 Ge
0.130 0.370 0.000 Sn
0.870 0.630 0.000 Sn
0.370 0.870 0.000 Sn
0.630 0.130 0.000 Sn
0.324 0.176 0.500 La
0.676 0.824 0.500 La
0.824 0.324 0.500 La
0.176 0.676 0.500 La
```

Calculated values
The calculated volume is 295.5 Å³/cell. As for the space group: No. 127.

---

*B*
Compound: La2Sn2Ge
Source: Alexandria via LeMat-Bulk
Functional: PBE
Structure: relaxed

Geometry as POSCAR:
```
La2Sn2Ge
1.0
8.208 0.000 0.000
0.000 8.208 0.000
0.000 0.000 4.784
Sn La Ge
4 4 2
Direct
0.873 0.373 0.500 Sn
0.127 0.627 0.500 Sn
0.373 0.127 0.500 Sn
0.627 0.873 0.500 Sn
0.324 0.824 0.000 La
0.824 0.676 0.000 La
0.176 0.324 0.000 La
0.676 0.176 0.000 La
0.000 0.000 0.000 Ge
0.500 0.500 0.000 Ge
```

Calculated values
The calculated volume is 322.3 Å³/cell. As for the space group: No. 127.

---

Which is the most stable structure? *A* is the most stable.